Record 1
DFT (SCAN) results for a PBEsol-optimized structure of CrPdAuN2.

a = 3.639 Å, b = 3.639 Å, c = 5.041 Å
α = 90.00°, β = 90.00°, γ = 90.00°
Fractional positions:
Cr1 0.000 0.000 0.000
Pd1 0.000 0.000 0.500
Au1 0.500 0.500 0.500
N1 0.000 0.500 0.000
N2 0.500 0.000 0.000

Properties
**ρ**: 9536 kg/m³
**Crystal system**: tetragonal
**ΔE_f (raw)**: 73.6 kJ per mole of atoms
**E_tot**: -135.08 eV for the cell shown

Record 2
DFT (SCAN) results for a PBEsol-optimized structure of LiZn2Pt2.

a = 7.357 Å, b = 7.357 Å, c = 2.798 Å
α = 90.00°, β = 90.00°, γ = 90.00°
Fractional positions:
Li1 0.000 0.000 0.000
Li2 0.500 0.500 0.000
Zn1 0.158 0.342 0.500
Zn2 0.342 0.842 0.500
Zn3 0.658 0.158 0.500
Zn4 0.842 0.658 0.500
Pt1 0.141 0.641 0.000
Pt2 0.359 0.141 0.000
Pt3 0.641 0.859 0.000
Pt4 0.859 0.359 0.000

Properties
**ρ**: 11575 kg/m³
**E_form**: -623 meV per atom
**Crystal system**: tetragonal
**E_tot**: -345.84 eV for the cell shown

Record 3
DFT (SCAN) results for a PBEsol-optimized structure of TlSi3.

a = 5.340 Å, b = 5.340 Å, c = 5.340 Å
α = 116.32°, β = 116.32°, γ = 116.32°
Fractional positions:
Tl1 0.000 0.000 0.000
Si1 0.000 0.500 0.500
Si2 0.500 0.000 0.500
Si3 0.500 0.500 0.000

Properties
**ρ**: 6478 kg/m³
**Crystal system**: trigonal
**ΔE_f (raw)**: 92.5 kJ per mole of atoms
**E_tot**: -98.57 eV for the cell shown
**Excess energy over the best structure of this formula in the dataset**: 0 meV per atom

Record 4
DFT (SCAN) results for a PBEsol-optimized structure of Er5Ni2Te2.

a = 7.571 Å, b = 7.571 Å, c = 14.600 Å
α = 90.00°, β = 90.00°, γ = 150.24°
Fractional positions:
Er1 0.041 0.959 0.624
Er2 0.041 0.959 0.876
Er3 0.259 0.741 0.128
Er4 0.259 0.741 0.372
Er5 0.394 0.606 0.750
Er6 0.606 0.394 0.250
Er7 0.741 0.259 0.628
Er8 0.741 0.259 0.872
Er9 0.959 0.041 0.124
Er10 0.959 0.041 0.376
Ni1 0.187 0.813 0.750
Ni2 0.413 0.587 0.250
Ni3 0.587 0.413 0.750
Ni4 0.813 0.187 0.250
Te1 0.385 0.615 0.540
Te2 0.385 0.615 0.960
Te3 0.615 0.385 0.040
Te4 0.615 0.385 0.460

Properties
**ρ**: 9666 kg/m³
**Crystal system**: orthorhombic
**ΔE_f (raw)**: -85.1 kJ per mole of atoms
**E_tot**: -732.97 eV for the cell shown

Record 5
DFT (SCAN) results for a PBEsol-optimized structure of Li2InPb.

a = 5.471 Å, b = 5.471 Å, c = 4.908 Å
α = 102.90°, β = 102.90°, γ = 36.19°
Fractional positions:
Li1 0.000 0.000 0.000
Li2 0.746 0.746 0.296
In1 0.488 0.488 0.477
Pb1 0.253 0.253 0.804

Properties
**ρ**: 6614 kg/m³
**E_form**: -304 meV per atom
**Crystal system**: monoclinic
**E_tot**: -115.16 eV for the cell shown
**Excess energy over the best structure of this formula in the dataset**: 83 meV per atom

Record 6
DFT (SCAN) results for a PBEsol-optimized structure of ZrTeAs2.

a = 5.587 Å, b = 5.587 Å, c = 5.587 Å
α = 141.58°, β = 130.87°, γ = 64.04°
Fractional positions:
Zr1 0.000 0.000 0.000
Te1 0.500 0.500 0.000
As1 0.249 0.749 0.500
As2 0.751 0.251 0.500

Properties
**ρ**: 7567 kg/m³
**Crystal system**: orthorhombic
**ΔE_f (raw)**: -19.7 kJ per mole of atoms
**E_tot**: -109.15 eV for the cell shown

Record 7
DFT (SCAN) results for a PBEsol-optimized structure of LaTaSiHg2.

a = 5.207 Å, b = 5.207 Å, c = 4.818 Å
α = 90.00°, β = 90.00°, γ = 90.00°
Fractional positions:
La1 0.000 0.000 0.000
Ta1 0.500 0.500 0.500
Si1 0.500 0.500 0.000
Hg1 0.000 0.500 0.500
Hg2 0.500 0.000 0.500

Properties
**ρ**: 9525 kg/m³
**Crystal system**: tetragonal
**ΔE_f (raw)**: -1.0 kJ per mole of atoms
**E_tot**: -256.09 eV for the cell shown

Record 8
DFT (SCAN) results for a PBEsol-optimized structure of BePt8.

a = 6.108 Å, b = 6.108 Å, c = 6.108 Å
α = 95.74°, β = 95.74°, γ = 143.12°
Fractional positions:
Be1 0.000 0.000 0.000
Pt1 0.000 0.327 0.327
Pt2 0.000 0.673 0.673
Pt3 0.327 0.000 0.327
Pt4 0.339 0.339 0.677
Pt5 0.339 0.661 0.000
Pt6 0.661 0.339 0.000
Pt7 0.661 0.661 0.323
Pt8 0.673 0.000 0.673

Properties
**ρ**: 20095 kg/m³
**E_form**: -164 meV per atom
**Crystal system**: tetragonal
**E_tot**: -567.38 eV for the cell shown

Record 9
DFT (SCAN) results for a PBEsol-optimized structure of K2LiTc.

a = 12.605 Å, b = 12.605 Å, c = 12.605 Å
α = 13.91°, β = 13.91°, γ = 13.91°
Fractional positions:
K1 0.000 0.000 0.000
K2 0.223 0.223 0.223
Li1 0.464 0.464 0.464
Tc1 0.741 0.741 0.741

Properties
**ρ**: 3019 kg/m³
**E_form**: 1102 meV per atom
**Crystal system**: trigonal
**E_tot**: -49.70 eV for the cell shown
**Excess energy over the best structure of this formula in the dataset**: 0 meV per atom

Record 10
DFT (SCAN) results for a PBEsol-optimized structure of BaTaW2.

a = 5.723 Å, b = 5.723 Å, c = 5.723 Å
α = 148.11°, β = 127.54°, γ = 62.71°
Fractional positions:
Ba1 0.000 0.000 0.000
Ta1 0.500 0.500 0.000
W1 0.264 0.764 0.500
W2 0.736 0.236 0.500

Properties
**ρ**: 14650 kg/m³
**E_form**: 1564 meV per atom
**Crystal system**: orthorhombic
**E_tot**: -239.25 eV for the cell shown
**Excess energy over the best structure of this formula in the dataset**: 542 meV per atom

Record 11
DFT (SCAN) results for a PBEsol-optimized structure of LiFePO4.

a = 5.341 Å, b = 5.341 Å, c = 6.031 Å
α = 90.22°, β = 90.22°, γ = 54.04°
Fractional positions:
Li1 0.177 0.177 0.250
Li2 0.823 0.823 0.750
Fe1 0.525 0.475 0.500
Fe2 0.527 0.473 0.000
P1 0.177 0.199 0.749
P2 0.801 0.823 0.251
O1 0.156 0.564 0.251
O2 0.282 0.423 0.751
O3 0.436 0.844 0.749
O4 0.577 0.718 0.249
O5 0.713 0.018 0.462
O6 0.714 0.018 0.040
O7 0.982 0.286 0.960
O8 0.982 0.287 0.538

Properties
**ρ**: 3763 kg/m³
**Crystal system**: monoclinic
**ΔE_f (raw)**: -209.8 kJ per mole of atoms
**E_tot**: -142.13 eV for the cell shown
**Excess energy over the best structure of this formula in the dataset**: 73 meV per atom

Record 12
DFT (SCAN) results for a PBEsol-optimized structure of YHfCuTc2.

a = 4.662 Å, b = 4.662 Å, c = 4.553 Å
α = 90.00°, β = 90.00°, γ = 90.00°
Fractional positions:
Y1 0.000 0.000 0.000
Hf1 0.500 0.500 0.500
Cu1 0.000 0.000 0.500
Tc1 0.000 0.500 0.000
Tc2 0.500 0.000 0.000

Properties
**ρ**: 8841 kg/m³
**E_form**: 1692 meV per atom
**Crystal system**: tetragonal
**E_tot**: -167.37 eV for the cell shown

Record 13
DFT (SCAN) results for a PBEsol-optimized structure of AgIrOs2.

a = 2.695 Å, b = 3.927 Å, c = 5.482 Å
α = 90.00°, β = 90.00°, γ = 90.00°
Fractional positions:
Ag1 0.000 0.000 0.000
Ir1 0.000 0.000 0.500
Os1 0.500 0.500 0.264
Os2 0.500 0.500 0.736

Properties
**ρ**: 19477 kg/m³
**E_form**: 581 meV per atom
**Crystal system**: orthorhombic
**E_tot**: -243.90 eV for the cell shown
**Excess energy over the best structure of this formula in the dataset**: 115 meV per atom

Record 14
DFT (SCAN) results for a PBEsol-optimized structure of AlRh.

a = 3.173 Å, b = 3.173 Å, c = 5.520 Å
α = 90.00°, β = 90.00°, γ = 90.00°
Fractional positions:
Al1 0.250 0.250 0.145
Al2 0.750 0.750 0.855
Rh1 0.250 0.250 0.665
Rh2 0.750 0.750 0.335

Properties
**ρ**: 7763 kg/m³
**E_form**: -856 meV per atom
**Crystal system**: tetragonal
**E_tot**: -86.47 eV for the cell shown

Record 15
DFT (SCAN) results for a PBEsol-optimized structure of CaLa3Sn.

a = 6.067 Å, b = 6.067 Å, c = 6.067 Å
α = 90.00°, β = 90.00°, γ = 90.00°
Fractional positions:
Ca1 0.000 0.000 0.000
La1 0.000 0.500 0.500
La2 0.500 0.000 0.500
La3 0.500 0.500 0.000
Sn1 0.500 0.500 0.500

Properties
**ρ**: 4280 kg/m³
**E_form**: -54 meV per atom
**Crystal system**: cubic
**E_tot**: -175.17 eV for the cell shown

Record 16
DFT (SCAN) results for a PBEsol-optimized structure of Si3Te4.

a = 5.126 Å, b = 5.126 Å, c = 7.312 Å
α = 90.00°, β = 90.00°, γ = 120.00°
Fractional positions:
Si1 0.000 0.500 0.000
Si2 0.500 0.000 0.000
Si3 0.500 0.500 0.000
Te1 0.000 0.000 0.227
Te2 0.000 0.000 0.773
Te3 0.333 0.667 0.500
Te4 0.667 0.333 0.500

Properties
**ρ**: 5934 kg/m³
**Crystal system**: hexagonal
**ΔE_f (raw)**: 56.8 kJ per mole of atoms
**E_tot**: -174.93 eV for the cell shown

Record 17
DFT (SCAN) results for a PBEsol-optimized structure of ZnP.

a = 3.439 Å, b = 3.439 Å, c = 2.523 Å
α = 90.00°, β = 90.00°, γ = 90.00°
Fractional positions:
Zn1 0.000 0.000 0.000
P1 0.500 0.500 0.500

Properties
**ρ**: 5365 kg/m³
**E_form**: 381 meV per atom
**Crystal system**: tetragonal
**E_tot**: -23.15 eV for the cell shown

Record 18
DFT (SCAN) results for a PBEsol-optimized structure of CrCdPCl2.

a = 4.598 Å, b = 4.598 Å, c = 4.823 Å
α = 90.00°, β = 90.00°, γ = 90.00°
Fractional positions:
Cr1 0.000 0.000 0.000
Cd1 0.500 0.500 0.500
P1 0.000 0.000 0.500
Cl1 0.000 0.500 0.000
Cl2 0.500 0.000 0.000

Properties
**ρ**: 4338 kg/m³
**Crystal system**: tetragonal
**ΔE_f (raw)**: -35.3 kJ per mole of atoms
**E_tot**: -76.98 eV for the cell shown
**Excess energy over the best structure of this formula in the dataset**: 0 meV per atom

Record 19
DFT (SCAN) results for a PBEsol-optimized structure of TaRe3.

a = 5.193 Å, b = 5.193 Å, c = 5.193 Å
α = 145.02°, β = 129.50°, γ = 62.91°
Fractional positions:
Ta1 0.000 0.000 0.000
Re1 0.245 0.745 0.500
Re2 0.500 0.500 0.000
Re3 0.755 0.255 0.500

Properties
**ρ**: 20045 kg/m³
**E_form**: -132 meV per atom
**Crystal system**: orthorhombic
**E_tot**: -280.41 eV for the cell shown

Record 20
DFT (SCAN) results for a PBEsol-optimized structure of Li3InPd.

a = 4.631 Å, b = 4.631 Å, c = 4.631 Å
α = 90.00°, β = 90.00°, γ = 90.00°
Fractional positions:
Li1 0.000 0.000 0.500
Li2 0.000 0.500 0.000
Li3 0.500 0.000 0.000
In1 0.500 0.500 0.500
Pd1 0.000 0.000 0.000

Properties
**ρ**: 4047 kg/m³
**E_form**: -56 meV per atom
**Crystal system**: cubic
**E_tot**: -73.61 eV for the cell shown